LaYRe2 | PBE | optimized geometry

It has space group Immm (No. 71), with a = 3.376 Å, b = 5.039 Å, c = 9.484 Å, α = 90.00°, β = 90.00° and γ = 90.00°. The distinct sites, in fractional coordinates, are La at (0.000, 0.000, 0.000), Y at (0.000, 0.000, 0.500) and Re at (0.000, 0.500, 0.256).

The calculated formation energy comes out at 644.1 meV/atom. For the final energy, the calculation gives -8.428 eV/atom.